Entry from Alexandria via LeMat-Bulk: CdHF3 after structural relaxation (PBE-GGA).

a = 5.7611 Å, b = 6.8192 Å, c = 5.9414 Å
α = 90.00°, β = 89.61°, γ = 90.00°
Closest atoms and distances in Å follow each position.
Atoms (fractional coordinates):
Cd  0.6508  0.1560  0.2074  7 F 2.25-2.46
Cd  0.1508  0.3440  0.7074  7 F 2.25-2.46
F  0.1789  0.6208  0.0596  1 H 1.24
F  0.8806  0.3442  0.4232  3 Cd 2.25-2.30
H  0.3415  0.5505  0.1677  1 F 1.08
F  0.6194  0.8442  0.0768  3 Cd 2.25-2.30
H  0.1585  0.0505  0.3323  1 F 1.08
F  0.8211  0.3792  0.9404  1 H 1.24
H  0.6585  0.4495  0.8323  1 F 1.08
F  0.9820  0.0154  0.7599  1 H 1.08
F  0.6789  0.8792  0.5596  1 H 1.24
Cd  0.8492  0.6560  0.2926  7 F 2.25-2.46
F  0.3211  0.1208  0.4404  1 H 1.24
F  0.1194  0.6558  0.5768  3 Cd 2.25-2.30
Cd  0.3492  0.8440  0.7926  7 F 2.25-2.46
F  0.3806  0.1558  0.9232  3 Cd 2.25-2.30
H  0.8415  0.9495  0.6677  1 F 1.08
F  0.4820  0.4846  0.2599  1 H 1.08
F  0.0180  0.9846  0.2401  1 H 1.08
F  0.5180  0.5154  0.7401  1 H 1.08

Summary:
The value obtained for the total magnetic moment is 0.0 Bohr magnetons per cell. For the volume, the calculation gives 233.4 Å³ per cell. The value obtained for the density is 4.85 g/cm³. As for the energy above the most stable polymorph in this dataset: 0.0000 eV/atom.

Entry from Alexandria via LeMat-Bulk: CdH2F4 after structural relaxation (PBE-GGA).

a = 4.3629 Å, b = 4.3629 Å, c = 5.7089 Å
α = 67.54°, β = 67.54°, γ = 90.00°
Closest atoms and distances in Å follow each position.
Atoms (fractional coordinates):
F  0.5000  0.0000  0.0000  2 Cd 2.18
F  0.0000  0.5000  0.0000  2 Cd 2.18
Cd  0.0000  0.0000  0.0000  4 F 2.18
F  0.7421  0.7421  0.5157  1 H 0.95
H  0.3563  0.3563  0.2875  1 F 0.95
F  0.2579  0.2579  0.4843  1 H 0.95
H  0.6437  0.6437  0.7125  1 F 0.95

Summary:
The value obtained for the total magnetic moment is 0.0 Bohr magnetons per cell. For the volume, the calculation gives 91.4 Å³ per cell. The value obtained for the density is 3.46 g/cm³. As for the energy above the most stable polymorph in this dataset: 0.0756 eV/atom.

Entry from Alexandria via LeMat-Bulk: CdH2F3 after structural relaxation (PBE-GGA).

a = 3.3796 Å, b = 6.9197 Å, c = 6.9113 Å
α = 114.12°, β = 90.00°, γ = 90.00°
Closest atoms and distances in Å follow each position.
Atoms (fractional coordinates):
Cd  0.7500  0.1322  0.1705  3 F 2.37-2.58
F  0.7500  0.5955  0.9006  1 H 1.00
H  0.2500  0.2280  0.5844  2 F 1.12-1.18
H  0.7500  0.7720  0.4156  2 F 1.12-1.18
F  0.2500  0.4045  0.0994  1 H 1.00
F  0.7500  0.8147  0.2759  1 H 1.12
F  0.7500  0.7340  0.5670  1 H 1.18
H  0.2500  0.3353  0.9407  1 F 1.00
F  0.2500  0.2660  0.4330  1 H 1.18
H  0.7500  0.6647  0.0593  1 F 1.00
F  0.2500  0.1853  0.7241  1 H 1.12
Cd  0.2500  0.8678  0.8295  3 F 2.37-2.58

Summary:
For the total DFT energy (no corrections), the calculation gives -3.79 eV per atom. The value obtained for the total magnetic moment is 0.0 Bohr magnetons per cell. For the volume, the calculation gives 147.5 Å³ per cell. The value obtained for the density is 3.86 g/cm³.